# 1
Here is an optimized crystal structure of AcPu2Ir2 from the Alexandria database. Energies are from PBE.

a = 4.483 Å, b = 4.483 Å, c = 7.028 Å
α = 108.60°, β = 108.60°, γ = 90.00°
Site moments in Bohr magnetons follow the coordinates.
Element x y z (fractional)
Ac (0.000, 0.000, 0.000)  0.13
Pu (0.750, 0.250, 0.500)  5.18
Pu (0.250, 0.750, 0.500)  5.18
Ir (0.605, 0.605, 0.211)  -0.23
Ir (0.395, 0.395, 0.789)  -0.23

As for the total magnetization: 10.8 μB/f.u. The value obtained for the calculated formation energy is -42.25 kJ/mol of atoms.

=====

# 2
Here is an optimized crystal structure of DyPuH from the Alexandria database. Energies are from PBE.

a = 3.481 Å, b = 3.481 Å, c = 5.703 Å
α = 90.00°, β = 90.00°, γ = 120.00°
Site moments in Bohr magnetons follow the coordinates.
Element x y z (fractional)
H (0.333, 0.667, 0.663)  -0.01
Dy (0.667, 0.333, 0.422)  0.12
Pu (0.000, 0.000, 0.915)  5.51

The total energy comes out at -7.529 eV/atom. As for the total magnetization: 6.0 μB/f.u.

=====

# 3
Here is an optimized crystal structure of ZnFe2As2 from the Alexandria database. Energies are from PBE.

a = 3.753 Å, b = 3.753 Å, c = 5.896 Å
α = 71.44°, β = 71.44°, γ = 90.00°
Element x y z (fractional)
As (0.750, 0.250, 0.500)
As (0.250, 0.750, 0.500)
Zn (0.000, 0.000, 0.000)
Fe (0.387, 0.387, 0.227)
Fe (0.613, 0.613, 0.773)

As for the total magnetization: 0.0 μB/f.u. For the energy relative to the lowest polymorph listed for this composition, the calculation gives 0.93 eV/f.u. The value obtained for the calculated formation energy is 26.09 kJ/mol of atoms.

=====

# 4
Here is an optimized crystal structure of Hg2Te from the Alexandria database. Energies are from PBE.

a = 9.736 Å, b = 9.736 Å, c = 6.018 Å
α = 90.00°, β = 90.00°, γ = 161.73°
Element x y z (fractional)
Hg (0.823, 0.177, 0.750)
Hg (0.485, 0.515, 0.750)
Hg (0.177, 0.823, 0.250)
Hg (0.515, 0.485, 0.250)
Te (0.163, 0.837, 0.750)
Te (0.837, 0.163, 0.250)

As for the total magnetization: 0.0 μB/f.u. For the energy relative to the lowest polymorph listed for this composition, the calculation gives 0.12 eV/f.u. The formation energy (no corrections) is 12 meV per atom.

=====

# 5
Here is an optimized crystal structure of Be2GeF from the Alexandria database. Energies are from PBE.

a = 4.397 Å, b = 4.397 Å, c = 6.004 Å
α = 68.52°, β = 68.52°, γ = 90.00°
Element x y z (fractional)
Be (0.503, 0.125, 0.250)
Be (0.247, 0.625, 0.250)
Be (0.375, 0.497, 0.750)
Be (0.875, 0.753, 0.750)
Ge (0.000, 0.000, 0.000)
Ge (0.750, 0.250, 0.500)
F (0.500, 0.500, 0.000)
F (0.250, 0.750, 0.500)

As for the total magnetization: 0.0 μB/f.u. For the energy relative to the lowest polymorph listed for this composition, the calculation gives 0.00 eV/f.u. The formation energy (no corrections) is -426 meV per atom.

=====

# 6
Here is an optimized crystal structure of Cs3Na2ScF9 from the Alexandria database. Energies are from PBE.

a = 6.328 Å, b = 6.328 Å, c = 7.941 Å
α = 90.00°, β = 90.00°, γ = 120.00°
Site moments in Bohr magnetons follow the coordinates.
Element x y z (fractional)
Cs (0.333, 0.667, 0.679)  0.00
Cs (0.000, 0.000, 0.000)  0.01
Cs (0.667, 0.333, 0.321)  0.00
Na (0.333, 0.667, 0.188)  0.00
Na (0.667, 0.333, 0.812)  0.00
Sc (0.000, 0.000, 0.500)  -0.01
F (0.847, 0.153, 0.649)  0.05
F (0.847, 0.695, 0.649)  0.05
F (0.305, 0.153, 0.649)  0.05
F (0.695, 0.847, 0.351)  0.05
F (0.153, 0.305, 0.351)  0.05
F (0.153, 0.847, 0.351)  0.05
F (0.500, 0.000, 0.000)  0.27
F (0.000, 0.500, 0.000)  0.27
F (0.500, 0.500, 0.000)  0.27

As for the total magnetization: 1.2 μB/f.u. The formation energy (no corrections) is -2937 meV per atom.

=====

# 7
Here is an optimized crystal structure of CuOs2Pt from the Alexandria database. Energies are from PBE.

a = 4.717 Å, b = 4.717 Å, c = 4.707 Å
α = 80.93°, β = 80.93°, γ = 33.37°
Element x y z (fractional)
Cu (0.250, 0.250, 0.250)
Os (0.002, 0.002, 0.008)
Os (0.498, 0.498, 0.492)
Pt (0.750, 0.750, 0.750)

As for the total magnetization: 0.0 μB/f.u. For the energy relative to the lowest polymorph listed for this composition, the calculation gives 0.56 eV/f.u. The value obtained for the calculated formation energy is 21.98 kJ/mol of atoms.

=====

# 8
Here is an optimized crystal structure of NaCeSm2Se4 from the Alexandria database. Energies are from PBE.

a = 4.178 Å, b = 7.308 Å, c = 7.265 Å
α = 70.82°, β = 90.00°, γ = 90.00°
Site moments in Bohr magnetons follow the coordinates.
Element x y z (fractional)
Na (0.000, 0.500, 0.500)  0.00
Ce (0.500, 0.500, 0.000)  0.94
Sm (0.000, 0.000, 0.000)  0.06
Sm (0.500, 0.000, 0.500)  0.02
Se (0.000, 0.752, 0.747)  -0.01
Se (0.000, 0.248, 0.253)  -0.01
Se (0.500, 0.754, 0.249)  -0.01
Se (0.500, 0.246, 0.751)  -0.01

As for the total magnetization: 1.2 μB/f.u. The formation energy (no corrections) is -1753 meV per atom.

=====

# 9
Here is an optimized crystal structure of LiAlGa4 from the Alexandria database. Energies are from PBE.

a = 4.911 Å, b = 5.057 Å, c = 4.978 Å
α = 82.76°, β = 60.54°, γ = 75.22°
Element x y z (fractional)
Li (0.000, 0.500, 0.500)
Al (0.500, 0.000, 0.500)
Ga (0.332, 0.500, 0.837)
Ga (0.668, 0.500, 0.163)
Ga (0.165, 0.001, 0.169)
Ga (0.835, 0.999, 0.831)

As for the total magnetization: 0.0 μB/f.u. The value obtained for the calculated formation energy is -9.05 kJ/mol of atoms.

=====

# 10
Here is an optimized crystal structure of Dy3Co2Ge3 from the Alexandria database. Energies are from PBE.

a = 5.637 Å, b = 7.813 Å, c = 13.939 Å
α = 90.00°, β = 90.00°, γ = 90.00°
Element x y z (fractional)
Dy (0.127, 0.459, 0.389)
Dy (0.627, 0.041, 0.611)
Dy (0.873, 0.541, 0.889)
Dy (0.373, 0.959, 0.111)
Dy (0.873, 0.541, 0.611)
Dy (0.373, 0.959, 0.389)
Dy (0.127, 0.459, 0.111)
Dy (0.627, 0.041, 0.889)
Dy (0.633, 0.315, 0.250)
Dy (0.133, 0.185, 0.750)
Dy (0.367, 0.685, 0.750)
Dy (0.867, 0.815, 0.250)
Co (0.891, 0.087, 0.407)
Co (0.391, 0.413, 0.593)
Co (0.109, 0.913, 0.907)
Co (0.609, 0.587, 0.093)
Co (0.109, 0.913, 0.593)
Co (0.609, 0.587, 0.407)
Co (0.891, 0.087, 0.093)
Co (0.391, 0.413, 0.907)
Ge (0.102, 0.164, 0.250)
Ge (0.602, 0.336, 0.750)
Ge (0.898, 0.836, 0.750)
Ge (0.398, 0.664, 0.250)
Ge (0.632, 0.305, 0.459)
Ge (0.132, 0.195, 0.541)
Ge (0.368, 0.695, 0.959)
Ge (0.868, 0.805, 0.041)
Ge (0.368, 0.695, 0.541)
Ge (0.868, 0.805, 0.459)
Ge (0.632, 0.305, 0.041)
Ge (0.132, 0.195, 0.959)

As for the total magnetization: 0.0 μB/f.u. For the energy relative to the lowest polymorph listed for this composition, the calculation gives 0.11 eV/f.u. The value obtained for the calculated formation energy is -68.35 kJ/mol of atoms.

=====

# 11
Here is an optimized crystal structure of NdGa2Se4 from the Alexandria database. Energies are from PBE.

a = 6.357 Å, b = 6.357 Å, c = 6.357 Å
α = 104.98°, β = 104.98°, γ = 118.89°
Element x y z (fractional)
Nd (0.500, 0.500, 0.000)
Ga (0.250, 0.750, 0.500)
Ga (0.750, 0.250, 0.500)
Se (0.314, 0.164, 0.479)
Se (0.836, 0.314, 0.150)
Se (0.164, 0.686, 0.850)
Se (0.686, 0.836, 0.521)

As for the total magnetization: 0.0 μB/f.u. The formation energy (no corrections) is -770 meV per atom.

=====

# 12
Here is an optimized crystal structure of Ta2HgMo from the Alexandria database. Energies are from PBE.

a = 3.370 Å, b = 3.370 Å, c = 6.388 Å
α = 90.00°, β = 90.00°, γ = 90.00°
Element x y z (fractional)
Hg (0.000, 0.000, 0.504)
Mo (0.500, 0.500, 0.771)
Ta (0.000, 0.000, 0.992)
Ta (0.500, 0.500, 0.233)

As for the total magnetization: 0.0 μB/f.u. The value obtained for the calculated formation energy is 19.49 kJ/mol of atoms.